Record 1
## Pu2GaCl (PBE)

Data for an optimized crystal structure of Pu2GaCl. Values from VASP.

Formation energy (no corrections) = -2.620 eV/f.u.
Space group = P4/mmm (123)
Magnetization = 11.97 μB/cell
E above lowest polymorph = 0 meV/atom
D(E_F) = 11.00 states/eV per cell

```
&SYSTEM
  ibrav = 0, nat = 4, ntyp = 3
/
ATOMIC_SPECIES
Ga 69.72 Ga.upf
Pu 244.00 Pu.upf
Cl 35.45 Cl.upf
ATOMIC_POSITIONS crystal
Ga 0.5000 0.5000 0.5000
Pu 0.0000 0.0000 0.7457
Pu 0.0000 0.0000 0.2543
Cl 0.5000 0.5000 0.0000
CELL_PARAMETERS angstrom
3.2649 0.0000 0.0000
0.0000 3.2649 0.0000
0.0000 0.0000 8.4367
```

=====

Record 2
## AcEuPbCl (PBE)

Data for an optimized crystal structure of AcEuPbCl. Values from VASP.

Formation energy (no corrections) = -4.007 eV/f.u.
Space group = F-43m (216)
Magnetization = 7.00 μB/cell
D(E_F) = 13.68 states/eV per cell

```
&SYSTEM
  ibrav = 0, nat = 4, ntyp = 4
/
ATOMIC_SPECIES
Cl 35.45 Cl.upf
Pb 207.20 Pb.upf
Eu 151.96 Eu.upf
Ac 227.00 Ac.upf
ATOMIC_POSITIONS crystal
Cl 0.7500 0.7500 0.7500
Pb 0.2500 0.2500 0.2500
Eu 0.0000 0.0000 0.0000
Ac 0.5000 0.5000 0.5000
CELL_PARAMETERS angstrom
-5.4740 -0.9465 -1.0981
-1.9592 -5.3066 -0.2601
-3.4069 -1.9632 4.0749
```

=====

Record 3
## CdTcHgGe2 (PBE)

Data for an optimized crystal structure of CdTcHgGe2. Values from VASP.

E_form = 216 meV per atom
Space group = P4/mmm (123)
Magnetization = 0.00 μB/cell
D(E_F) = 2.04 states/eV per cell

```
&SYSTEM
  ibrav = 0, nat = 5, ntyp = 4
/
ATOMIC_SPECIES
Tc 98.00 Tc.upf
Hg 200.59 Hg.upf
Ge 72.64 Ge.upf
Cd 112.41 Cd.upf
ATOMIC_POSITIONS crystal
Tc 0.0000 0.0000 0.0000
Hg 0.5000 0.5000 0.5000
Ge 0.0000 0.5000 0.0000
Ge 0.5000 0.0000 0.0000
Cd 0.0000 0.0000 0.5000
CELL_PARAMETERS angstrom
-0.0820 -3.7986 2.8901
4.5736 0.7643 1.1343
-1.5583 3.1826 4.1388
```

=====

Record 4
## HoErAlCr (PBE)

Data for an optimized crystal structure of HoErAlCr. Values from VASP.

E_form = -32 meV per atom
Space group = F-43m (216)
Magnetization = 3.85 μB/cell
D(E_F) = 2.84 states/eV per cell

```
&SYSTEM
  ibrav = 0, nat = 4, ntyp = 4
/
ATOMIC_SPECIES
Er 167.26 Er.upf
Al 26.98 Al.upf
Ho 164.93 Ho.upf
Cr 52.00 Cr.upf
ATOMIC_POSITIONS crystal
Er 0.5000 0.5000 0.5000
Al 0.2500 0.2500 0.2500
Ho 0.0000 0.0000 0.0000
Cr 0.7500 0.7500 0.7500
CELL_PARAMETERS angstrom
-5.0621 -0.0214 -0.0552
-2.4828 -2.8936 -3.3304
-2.5314 -4.0858 1.5895
```

=====

Record 5
## EuNi2Sb2 (PBE)

Data for an optimized crystal structure of EuNi2Sb2. Values from VASP.

Formation energy (no corrections) = -2.793 eV/f.u.
Space group = C2/m (12)
Magnetization = 6.90 μB/cell
D(E_F) = 3.59 states/eV per cell

```
&SYSTEM
  ibrav = 0, nat = 5, ntyp = 3
/
ATOMIC_SPECIES
Sb 121.76 Sb.upf
Ni 58.69 Ni.upf
Eu 151.96 Eu.upf
ATOMIC_POSITIONS crystal
Sb 0.3282 0.3282 0.7188
Ni 0.2910 0.7090 0.5000
Ni 0.7090 0.2910 0.5000
Eu 0.0000 0.0000 0.0000
Sb 0.6718 0.6718 0.2812
CELL_PARAMETERS angstrom
4.4338 -0.0451 -0.0064
-0.1453 4.4316 -0.0064
-2.2969 -2.3494 5.3420
```

=====

Record 6
## KBe2Ag (PBE)

Data for an optimized crystal structure of KBe2Ag. Values from VASP.

E_form = 1068 meV per atom
Space group = C2/m (12)
Magnetization = 0.00 μB/cell
E above lowest polymorph = 803 meV/atom
D(E_F) = 1.19 states/eV per cell

```
&SYSTEM
  ibrav = 0, nat = 4, ntyp = 3
/
ATOMIC_SPECIES
K 39.10 K.upf
Be 9.01 Be.upf
Ag 107.87 Ag.upf
ATOMIC_POSITIONS crystal
K 0.5000 0.0000 0.5000
Be 0.0000 0.0000 0.0000
Be 0.5000 0.5000 0.0000
Ag 0.0000 0.5000 0.5000
CELL_PARAMETERS angstrom
6.0716 0.0439 -0.0137
-3.0451 5.2529 -0.0137
0.5436 0.9514 2.4130
```

=====

Which formula does entry 2 have?
AcEuPbCl